Record 1
{
  "formula": "LuGeIr",
  "functional": "GGA-PBE",
  "state": "optimized geometry",
  "spacegroup": "P-6m2, No. 187",
  "dos_ef_per_ev_cell": 1.44,
  "energy_ev_per_atom": -6.83,
  "formation_energy_mev_per_atom": -834.2,
  "total_magnetization_mub_per_fu": 0.00,
  "lattice": [[3.270, 0.000, 0.000], [0.000, 4.401, 0.000], [0.000, -2.201, 3.812]],
  "species": ["Lu", "Ir", "Ge"],
  "frac_coords": [[0.667, 0.333, 0.667], [0.167, 0.000, 0.000], [0.167, 0.667, 0.333]]
}

Record 2
{
  "formula": "LuGe2Ir",
  "functional": "GGA-PBE",
  "state": "optimized geometry",
  "spacegroup": "R-3m, No. 166",
  "dos_ef_per_ev_cell": 1.56,
  "energy_ev_per_atom": -6.28,
  "formation_energy_mev_per_atom": -625.5,
  "total_magnetization_mub_per_fu": 0.00,
  "lattice": [[4.211, 0.000, 0.000], [2.106, 3.647, 0.000], [2.106, 1.216, 4.749]],
  "species": ["Ir", "Lu", "Ge", "Ge"],
  "frac_coords": [[0.500, 0.500, 0.500], [0.000, 0.000, 0.000], [0.776, 0.776, 0.671], [0.224, 0.224, 0.329]]
}

Record 3
{
  "formula": "Lu2GeIr",
  "functional": "GGA-PBE",
  "state": "optimized geometry",
  "spacegroup": "P4/mmm, No. 123",
  "dos_ef_per_ev_cell": 1.87,
  "energy_ev_per_atom": -6.43,
  "formation_energy_mev_per_atom": -801.2,
  "total_magnetization_mub_per_fu": 0.00,
  "lattice": [[3.466, 0.000, 0.000], [0.000, 3.466, 0.000], [0.000, 0.000, 6.755]],
  "species": ["Ge", "Lu", "Lu", "Ir"],
  "frac_coords": [[0.500, 0.500, 0.500], [0.000, 0.000, 0.236], [0.000, 0.000, 0.764], [0.500, 0.500, 0.000]]
}